No. 1
Here is a geometry-optimized TlBiIr2 structure from the Alexandria database. Energies are from PBE.

a b c (Å): 6.790 6.790 6.790
angles (deg): 90.00 90.00 90.00
Space group Fm-3m (No. 225)
Unique sites:
Tl 0.000 0.000 0.000 [4 per cell]
Bi 0.000 0.000 0.500 [4 per cell]
Ir 0.250 0.250 0.250 [8 per cell]

Output
* formation enthalpy at 0 K: 0.609 eV per atom
* E_tot: -5.383 eV/atom
* size of the total moment: 0.37 μB/f.u.

***

No. 2
Here is a geometry-optimized TlBi2Ir structure from the Alexandria database. Energies are from PBE.

a b c (Å): 6.869 6.869 12.435
angles (deg): 90.00 90.00 90.00
Space group I-42d (No. 122)
Unique sites:
Tl 0.000 0.000 0.000 [4 per cell]
Bi 0.182 0.250 0.625 [8 per cell]
Ir 0.000 0.000 0.500 [4 per cell]

Output
* formation enthalpy at 0 K: 0.373 eV per atom
* E_tot: -4.374 eV/atom
* size of the total moment: 0.00 μB/f.u.

***

No. 3
Here is a geometry-optimized TlBi2Ir structure from the Alexandria database. Energies are from PBE.

a b c (Å): 7.315 7.315 7.315
angles (deg): 90.00 90.00 90.00
Space group Fm-3m (No. 225)
Unique sites:
Tl 0.000 0.000 0.000 [4 per cell]
Bi 0.250 0.250 0.250 [8 per cell]
Ir 0.000 0.000 0.500 [4 per cell]

Output
* formation enthalpy at 0 K: 0.395 eV per atom
* E_tot: -4.352 eV/atom
* size of the total moment: 0.00 μB/f.u.

***

size of the total moment of number 3 (TlBi2Ir)?
0.00 μB/f.u.

***

Look up the size of the total moment of the second one.
0.00 μB/f.u.